The following is a PBE calculation of an optimized crystal structure of K3AlCd, from the Alexandria database.

The space group is Pm-3m (No. 221) and the conventional cell measures 6.6802, 6.6802 and 6.6802 Å, with angles of 90.00, 90.00 and 90.00 degrees. The asymmetric unit holds K at (0.0000, 0.0000, 0.5000), Al at (0.0000, 0.0000, 0.0000) and Cd at (0.5000, 0.5000, 0.5000).

Its energy above the most stable polymorph in this dataset is 0 meV/atom. For the calculated density, the calculation gives 1.43 Mg/m³. Its calculated formation energy is 380 meV per atom.